First-principles (PBE) data for crystalline BaCe2Pm at its relaxed geometry, as listed in the Alexandria database.

Output
energy of formation: 344 meV per atom
E: -17.17 eV/cell
DOS(E_F): 12.311 states/eV per cell
space group: R-3m

Lattice parameters (Å, degrees): 13.1219 13.1219 13.1219 15.61 15.61 15.61
Closest atoms and distances in Å follow each position.
Fractional positions:
Ba1 0.0000 0.0000 0.0000  2 Ce 3.56, 6 Ba 3.56
Ce1 0.0915 0.0915 0.0915  1 Ba 3.56, 6 Ce 3.56, 3 Pm 3.57
Ce2 0.9085 0.9085 0.9085  1 Ba 3.56, 6 Ce 3.56, 3 Pm 3.57
Pm1 0.5000 0.5000 0.5000  6 Pm 3.56, 6 Ce 3.57

***

First-principles (PBE) data for crystalline Ba2CePmSe6 at its relaxed geometry, as listed in the Alexandria database.

Output
uncorrected formation energy: -1.70 eV per atom
E: -104.97 eV/cell
DOS(E_F): 29.429 states/eV per cell
space group: P2_1/c

Lattice parameters (Å, degrees): 7.4941 8.0897 13.2233 90.00 123.88 90.00
Closest atoms and distances in Å follow each position.
Fractional positions:
Ba1 0.2197 0.0806 0.2488  6 Se 3.32-3.51
Ba2 0.2197 0.4194 0.7488  6 Se 3.32-3.51
Ba3 0.7803 0.5806 0.2512  6 Se 3.32-3.51
Ba4 0.7803 0.9194 0.7512  6 Se 3.32-3.51
Ce1 0.5000 0.0000 0.0000  6 Se 2.82-2.85
Ce2 0.5000 0.5000 0.5000  6 Se 2.82-2.85
Pm1 0.0000 0.0000 0.5000  6 Se 2.89-2.92
Pm2 0.0000 0.5000 0.0000  6 Se 2.89-2.92
Se1 0.1433 0.1944 0.9489  1 Ce 2.84, 1 Pm 2.92
Se2 0.1433 0.3056 0.4489  1 Ce 2.84, 1 Pm 2.92
Se3 0.2578 0.7027 0.9457  1 Ce 2.85, 1 Pm 2.91
Se4 0.2578 0.7973 0.4457  1 Ce 2.85, 1 Pm 2.91
Se5 0.3537 0.0256 0.7528  1 Ce 2.82, 1 Pm 2.89
Se6 0.3537 0.4744 0.2528  1 Ce 2.82, 1 Pm 2.89
Se7 0.6463 0.5256 0.7472  1 Ce 2.82, 1 Pm 2.89
Se8 0.6463 0.9744 0.2472  1 Ce 2.82, 1 Pm 2.89
Se9 0.7422 0.2027 0.5543  1 Ce 2.85, 1 Pm 2.91
Se10 0.7422 0.2973 0.0543  1 Ce 2.85, 1 Pm 2.91
Se11 0.8567 0.6944 0.5511  1 Ce 2.84, 1 Pm 2.92
Se12 0.8567 0.8056 0.0511  1 Ce 2.84, 1 Pm 2.92

***

First-principles (PBE) data for crystalline BaCePm2Se4 at its relaxed geometry, as listed in the Alexandria database.

Output
uncorrected formation energy: -1.83 eV per atom
E: -45.94 eV/cell
DOS(E_F): 9.693 states/eV per cell
space group: P2/m

Lattice parameters (Å, degrees): 7.4984 4.2795 7.5114 90.00 108.98 90.00
Closest atoms and distances in Å follow each position.
Fractional positions:
Ba1 0.0000 0.0000 0.0000  6 Se 3.16-3.17
Ce1 0.5000 0.5000 0.0000  6 Se 3.07
Pm1 0.0000 0.5000 0.5000  6 Se 3.05
Pm2 0.5000 0.0000 0.5000  6 Se 2.94-2.95
Se1 0.2571 0.0000 0.7401  3 Pm 2.95-3.05, 2 Ce 3.07, 1 Ba 3.16
Se2 0.2677 0.5000 0.2688  3 Pm 2.94-3.05, 1 Ce 3.07, 2 Ba 3.17
Se3 0.7323 0.5000 0.7312  3 Pm 2.94-3.05, 1 Ce 3.07, 2 Ba 3.17
Se4 0.7429 0.0000 0.2599  3 Pm 2.95-3.05, 2 Ce 3.07, 1 Ba 3.16

***

First-principles (PBE) data for crystalline Ba3CePm2Se6 at its relaxed geometry, as listed in the Alexandria database.

Output
uncorrected formation energy: -1.90 eV per atom
E: -64.88 eV/cell
DOS(E_F): 11.202 states/eV per cell
space group: C2/m

Lattice parameters (Å, degrees): 7.5955 7.5955 7.8453 99.29 99.29 119.95
Closest atoms and distances in Å follow each position.
Fractional positions:
Ba1 0.0000 0.0000 0.0000  6 Se 3.27-3.28
Ba2 0.3334 0.6666 0.0000  6 Se 3.27-3.28
Ba3 0.6666 0.3334 0.0000  6 Se 3.27-3.28
Ce1 0.5000 0.5000 0.5000  6 Se 3.02
Pm1 0.1666 0.8334 0.5000  6 Se 3.01
Pm2 0.8334 0.1666 0.5000  6 Se 3.01
Se1 0.0922 0.4265 0.2794  2 Pm 3.01, 1 Ce 3.02, 3 Ba 3.27-3.28
Se2 0.2392 0.2392 0.7203  2 Pm 3.01, 1 Ce 3.02, 3 Ba 3.27-3.28
Se3 0.4265 0.0922 0.2794  2 Pm 3.01, 1 Ce 3.02, 3 Ba 3.27-3.28
Se4 0.5735 0.9078 0.7206  2 Pm 3.01, 1 Ce 3.02, 3 Ba 3.27-3.28
Se5 0.7608 0.7608 0.2797  2 Pm 3.01, 1 Ce 3.02, 3 Ba 3.27-3.28
Se6 0.9078 0.5735 0.7206  2 Pm 3.01, 1 Ce 3.02, 3 Ba 3.27-3.28

***

First-principles (PBE) data for crystalline BaCe3Pm2Te6 at its relaxed geometry, as listed in the Alexandria database.

Output
uncorrected formation energy: -1.41 eV per atom
E: -65.03 eV/cell
DOS(E_F): 24.018 states/eV per cell
space group: C2/m

Lattice parameters (Å, degrees): 10.2218 10.2218 9.2154 103.68 103.68 25.56
Closest atoms and distances in Å follow each position.
Fractional positions:
Ba1 0.0000 0.0000 0.0000  6 Te 3.33-3.35
Ce1 0.0000 0.0000 0.5000  6 Te 3.13-3.20
Ce2 0.3366 0.3366 0.1716  6 Te 3.16-3.27
Ce3 0.6634 0.6634 0.8284  6 Te 3.16-3.27
Pm1 0.3291 0.3291 0.6590  6 Te 3.16-3.25
Pm2 0.6709 0.6709 0.3410  6 Te 3.16-3.25
Te1 0.1656 0.1656 0.5821  3 Pm 3.16-3.19, 3 Ce 3.20-3.21
Te2 0.1734 0.1734 0.0895  3 Ce 3.16-3.27, 2 Pm 3.25, 1 Ba 3.35
Te3 0.4959 0.4959 0.7329  3 Ce 3.13-3.24, 1 Pm 3.23, 2 Ba 3.33
Te4 0.5041 0.5041 0.2671  3 Ce 3.13-3.24, 1 Pm 3.23, 2 Ba 3.33
Te5 0.8266 0.8266 0.9105  3 Ce 3.16-3.27, 2 Pm 3.25, 1 Ba 3.35
Te6 0.8344 0.8344 0.4179  3 Pm 3.16-3.19, 3 Ce 3.20-3.21

***

First-principles (PBE) data for crystalline BaCePr2 at its relaxed geometry, as listed in the Alexandria database.

Output
energy of formation: 133 meV per atom
energy above the lowest structure with this stoichiometry: 0 meV/atom
E: -16.88 eV/cell
DOS(E_F): 7.282 states/eV per cell
space group: P4/mmm

Lattice parameters (Å, degrees): 3.7137 3.7137 11.0633 90.00 90.00 90.00
Closest atoms and distances in Å follow each position.
Fractional positions:
Ba1 0.0000 0.0000 0.0000  4 Ba 3.71, 8 Pr 4.14
Ce1 0.0000 0.0000 0.5000  8 Pr 3.51, 4 Ce 3.71
Pr1 0.5000 0.5000 0.2895  4 Ce 3.51, 4 Pr 3.71
Pr2 0.5000 0.5000 0.7105  4 Ce 3.51, 4 Pr 3.71

***

First-principles (PBE) data for crystalline BaCePr2 at its relaxed geometry, as listed in the Alexandria database.

Output
energy of formation: 659 meV per atom
energy above the lowest structure with this stoichiometry: 525 meV/atom
E: -14.78 eV/cell
DOS(E_F): 7.173 states/eV per cell
space group: R-3m

Lattice parameters (Å, degrees): 10.6016 10.6016 10.6016 23.39 23.39 23.39
Closest atoms and distances in Å follow each position.
Fractional positions:
Ba1 0.0000 0.0000 0.0000  2 Pr 3.61
Ce1 0.5000 0.5000 0.5000  6 Pr 2.92
Pr1 0.1166 0.1166 0.1166  3 Ce 2.92
Pr2 0.8834 0.8834 0.8834  3 Ce 2.92

***

First-principles (PBE) data for crystalline BaCePr2Se4 at its relaxed geometry, as listed in the Alexandria database.

Output
uncorrected formation energy: -1.84 eV per atom
E: -46.05 eV/cell
DOS(E_F): 9.739 states/eV per cell
space group: P2/m

Lattice parameters (Å, degrees): 7.5547 4.3222 7.5714 90.00 109.06 90.00
Closest atoms and distances in Å follow each position.
Fractional positions:
Ba1 0.0000 0.0000 0.0000  6 Se 3.16-3.18
Ce1 0.0000 0.5000 0.5000  6 Se 3.06
Pr1 0.5000 0.0000 0.5000  6 Se 2.99-3.00
Pr2 0.5000 0.5000 0.0000  6 Se 3.10
Se1 0.2541 0.0000 0.7404  3 Pr 3.00-3.10, 2 Ce 3.06, 1 Ba 3.16
Se2 0.2633 0.5000 0.2666  3 Pr 2.99-3.10, 1 Ce 3.06, 2 Ba 3.18
Se3 0.7367 0.5000 0.7334  3 Pr 2.99-3.10, 1 Ce 3.06, 2 Ba 3.18
Se4 0.7459 0.0000 0.2596  3 Pr 3.00-3.10, 2 Ce 3.06, 1 Ba 3.16

***

First-principles (PBE) data for crystalline Ba3CePr2Se6 at its relaxed geometry, as listed in the Alexandria database.

Output
uncorrected formation energy: -1.90 eV per atom
E: -65.00 eV/cell
DOS(E_F): 11.158 states/eV per cell
space group: C2/m

Lattice parameters (Å, degrees): 7.6479 7.6479 7.8747 99.32 99.32 119.95
Closest atoms and distances in Å follow each position.
Fractional positions:
Ba1 0.0000 0.0000 0.0000  6 Se 3.27-3.29
Ba2 0.3323 0.6677 0.0000  6 Se 3.27-3.28
Ba3 0.6677 0.3323 0.0000  6 Se 3.27-3.28
Ce1 0.5000 0.5000 0.5000  6 Se 3.03
Pr1 0.1663 0.8337 0.5000  6 Se 3.05-3.06
Pr2 0.8337 0.1663 0.5000  6 Se 3.05-3.06
Se1 0.0948 0.4256 0.2765  1 Ce 3.03, 2 Pr 3.05-3.06, 3 Ba 3.27-3.28
Se2 0.2441 0.2441 0.7242  1 Ce 3.03, 2 Pr 3.05, 3 Ba 3.28-3.29
Se3 0.4256 0.0948 0.2765  1 Ce 3.03, 2 Pr 3.05-3.06, 3 Ba 3.27-3.28
Se4 0.5744 0.9052 0.7235  1 Ce 3.03, 2 Pr 3.05-3.06, 3 Ba 3.27-3.28
Se5 0.7559 0.7559 0.2758  1 Ce 3.03, 2 Pr 3.05, 3 Ba 3.28-3.29
Se6 0.9052 0.5744 0.7235  1 Ce 3.03, 2 Pr 3.05-3.06, 3 Ba 3.27-3.28

***

First-principles (PBE) data for crystalline BaCePr4Se8 at its relaxed geometry, as listed in the Alexandria database.

Output
uncorrected formation energy: -1.78 eV per atom
E: -79.78 eV/cell
DOS(E_F): 10.567 states/eV per cell
space group: R3m

Lattice parameters (Å, degrees): 8.9090 8.9090 8.9090 59.99 59.99 59.99
Closest atoms and distances in Å follow each position.
Fractional positions:
Ba1 0.0000 0.0000 0.0000  4 Se 3.06-3.07
Ce1 0.3754 0.3754 0.3754  6 Se 2.95-3.07
Pr1 0.3745 0.3745 0.8803  6 Se 2.95-3.08
Pr2 0.3745 0.8803 0.3745  6 Se 2.95-3.08
Pr3 0.7511 0.7511 0.7511  4 Se 2.89
Pr4 0.8803 0.3745 0.3745  6 Se 2.95-3.08
Se1 0.1406 0.1406 0.1406  3 Pr 2.96, 1 Ba 3.07
Se2 0.1425 0.1425 0.5790  1 Ce 2.95, 2 Pr 2.95, 1 Ba 3.06
Se3 0.1425 0.5790 0.1425  1 Ce 2.95, 2 Pr 2.95, 1 Ba 3.06
Se4 0.1482 0.6189 0.6189  3 Pr 2.89-3.08, 1 Ce 3.07
Se5 0.5790 0.1425 0.1425  1 Ce 2.95, 2 Pr 2.95, 1 Ba 3.06
Se6 0.6189 0.1482 0.6189  3 Pr 2.89-3.08, 1 Ce 3.07
Se7 0.6189 0.6189 0.1482  3 Pr 2.89-3.08, 1 Ce 3.07
Se8 0.6186 0.6186 0.6186  4 Pr 2.89-3.08

***

First-principles (PBE) data for crystalline Ba2CePrSe4 at its relaxed geometry, as listed in the Alexandria database.

Output
uncorrected formation energy: -1.89 eV per atom
E: -43.65 eV/cell
DOS(E_F): 9.394 states/eV per cell
space group: P2/m

Lattice parameters (Å, degrees): 7.6418 4.4159 7.8770 90.00 108.90 90.00
Closest atoms and distances in Å follow each position.
Fractional positions:
Ba1 0.0000 0.0000 0.0000  6 Se 3.27
Ba2 0.5000 0.5000 0.0000  6 Se 3.28-3.29
Ce1 0.0000 0.5000 0.5000  6 Se 3.03-3.04
Pr1 0.5000 0.0000 0.5000  6 Se 3.05
Se1 0.2396 0.0000 0.7229  2 Ce 3.04, 1 Pr 3.05, 3 Ba 3.27-3.28
Se2 0.2569 0.5000 0.2764  1 Ce 3.03, 2 Pr 3.05, 3 Ba 3.27-3.29
Se3 0.7431 0.5000 0.7236  1 Ce 3.03, 2 Pr 3.05, 3 Ba 3.27-3.29
Se4 0.7604 0.0000 0.2771  2 Ce 3.04, 1 Pr 3.05, 3 Ba 3.27-3.28

***

First-principles (PBE) data for crystalline Ba2CePrSe6 at its relaxed geometry, as listed in the Alexandria database.

Output
uncorrected formation energy: -1.70 eV per atom
E: -104.85 eV/cell
DOS(E_F): 30.445 states/eV per cell
space group: P2_1/c

Lattice parameters (Å, degrees): 7.5776 8.1194 13.2407 90.00 124.02 90.00
Closest atoms and distances in Å follow each position.
Fractional positions:
Ba1 0.2187 0.0792 0.2477  6 Se 3.31-3.50
Ba2 0.2187 0.4208 0.7477  6 Se 3.31-3.50
Ba3 0.7813 0.5792 0.2523  6 Se 3.31-3.50
Ba4 0.7813 0.9208 0.7523  6 Se 3.31-3.50
Ce1 0.5000 0.0000 0.0000  6 Se 2.82-2.86
Ce2 0.5000 0.5000 0.5000  6 Se 2.82-2.86
Pr1 0.0000 0.0000 0.5000  6 Se 2.94-2.96
Pr2 0.0000 0.5000 0.0000  6 Se 2.94-2.96
Se1 0.1454 0.1942 0.9464  1 Ce 2.84, 1 Pr 2.96
Se2 0.1454 0.3058 0.4464  1 Ce 2.84, 1 Pr 2.96
Se3 0.2524 0.7064 0.9409  1 Ce 2.86, 1 Pr 2.96
Se4 0.2524 0.7936 0.4409  1 Ce 2.86, 1 Pr 2.96
Se5 0.3630 0.0310 0.7545  1 Ce 2.82, 1 Pr 2.94
Se6 0.3630 0.4690 0.2545  1 Ce 2.82, 1 Pr 2.94
Se7 0.6370 0.5310 0.7455  1 Ce 2.82, 1 Pr 2.94
Se8 0.6370 0.9690 0.2455  1 Ce 2.82, 1 Pr 2.94
Se9 0.7476 0.2064 0.5591  1 Ce 2.86, 1 Pr 2.96
Se10 0.7476 0.2936 0.0591  1 Ce 2.86, 1 Pr 2.96
Se11 0.8546 0.6942 0.5536  1 Ce 2.84, 1 Pr 2.96
Se12 0.8546 0.8058 0.0536  1 Ce 2.84, 1 Pr 2.96